# 1
# CaS2Br2 | Alexandria | PBEsol | optimized geometry
# Fermi-level density of states: 0.321 states/eV/atom
# SG: I4/mmm (139)
# size of the total moment: 0.000 Bohr magnetons per cell
# uncorrected energy: -17.64 eV for the cell shown
data_CaS2Br2
_cell_length_a 5.563
_cell_length_b 5.563
_cell_length_c 5.563
_cell_angle_alpha 96.49
_cell_angle_beta 116.32
_cell_angle_gamma 116.32
_symmetry_space_group_name_H-M 'P 1'
_symmetry_Int_Tables_number 1
loop_
_symmetry_equiv_pos_as_xyz
'x,y,z'
loop_
_atom_site_label
_atom_site_type_symbol
_atom_site_fract_x
_atom_site_fract_y
_atom_site_fract_z
S1 S 0.000 0.627 0.627
S2 S 0.000 0.373 0.373
Br1 Br 0.500 0.250 0.750
Br2 Br 0.500 0.750 0.250
Ca1 Ca 0.000 0.000 0.000

# 2
# CaS3Br | Alexandria | PBEsol | optimized geometry
# Fermi-level density of states: 0.339 states/eV/atom
# SG: Pm-3m (221)
# size of the total moment: 5.018 Bohr magnetons per cell
# uncorrected energy: -15.29 eV for the cell shown
data_CaS3Br
_cell_length_a 5.347
_cell_length_b 5.347
_cell_length_c 5.347
_cell_angle_alpha 90.00
_cell_angle_beta 90.00
_cell_angle_gamma 90.00
_symmetry_space_group_name_H-M 'P 1'
_symmetry_Int_Tables_number 1
loop_
_symmetry_equiv_pos_as_xyz
'x,y,z'
loop_
_atom_site_label
_atom_site_type_symbol
_atom_site_fract_x
_atom_site_fract_y
_atom_site_fract_z
Br1 Br 0.500 0.500 0.500
Ca1 Ca 0.000 0.000 0.000
S1 S 0.000 0.500 0.000
S2 S 0.500 0.000 0.000
S3 S 0.000 0.000 0.500

# 3
# CaTcS2Br | Alexandria | PBEsol | optimized geometry
# Fermi-level density of states: 0.908 states/eV/atom
# SG: P4/mmm (123)
# size of the total moment: 1.577 Bohr magnetons per cell
# uncorrected energy: -20.79 eV for the cell shown
data_CaTcS2Br
_cell_length_a 4.448
_cell_length_b 5.150
_cell_length_c 5.150
_cell_angle_alpha 90.00
_cell_angle_beta 90.00
_cell_angle_gamma 90.00
_symmetry_space_group_name_H-M 'P 1'
_symmetry_Int_Tables_number 1
loop_
_symmetry_equiv_pos_as_xyz
'x,y,z'
loop_
_atom_site_label
_atom_site_type_symbol
_atom_site_fract_x
_atom_site_fract_y
_atom_site_fract_z
S1 S 0.000 0.500 0.000
S2 S 0.000 0.000 0.500
Ca1 Ca 0.500 0.500 0.500
Tc1 Tc 0.500 0.000 0.000
Br1 Br 0.000 0.000 0.000

# 4
# CaZn2SBr | Alexandria | PBEsol | optimized geometry
# Fermi-level density of states: 1.385 states/eV/atom
# SG: P4/mmm (123)
# size of the total moment: 0.703 Bohr magnetons per cell
# uncorrected energy: -10.36 eV for the cell shown
data_CaZn2SBr
_cell_length_a 4.994
_cell_length_b 5.882
_cell_length_c 5.882
_cell_angle_alpha 90.00
_cell_angle_beta 90.00
_cell_angle_gamma 90.00
_symmetry_space_group_name_H-M 'P 1'
_symmetry_Int_Tables_number 1
loop_
_symmetry_equiv_pos_as_xyz
'x,y,z'
loop_
_atom_site_label
_atom_site_type_symbol
_atom_site_fract_x
_atom_site_fract_y
_atom_site_fract_z
Ca1 Ca 0.000 0.000 0.000
Zn1 Zn 0.000 0.000 0.500
Zn2 Zn 0.000 0.500 0.000
Br1 Br 0.500 0.500 0.500
S1 S 0.500 0.000 0.000

# 5
# CaSbBr2 | Alexandria | PBEsol | optimized geometry
# Fermi-level density of states: 0.440 states/eV/atom
# SG: P4/mmm (123)
# size of the total moment: 0.002 Bohr magnetons per cell
# uncorrected energy: -14.49 eV for the cell shown
# distance to the lowest polymorph of the same formula: 0.000 eV per atom
data_CaSbBr2
_cell_length_a 3.407
_cell_length_b 3.407
_cell_length_c 11.067
_cell_angle_alpha 90.00
_cell_angle_beta 90.00
_cell_angle_gamma 90.00
_symmetry_space_group_name_H-M 'P 1'
_symmetry_Int_Tables_number 1
loop_
_symmetry_equiv_pos_as_xyz
'x,y,z'
loop_
_atom_site_label
_atom_site_type_symbol
_atom_site_fract_x
_atom_site_fract_y
_atom_site_fract_z
Sb1 Sb 0.500 0.500 0.500
Br1 Br 0.000 0.000 0.845
Br2 Br 0.000 0.000 0.155
Ca1 Ca 0.500 0.500 0.000

# 6
# Ca2SbBr | Alexandria | PBEsol | optimized geometry
# SG: I-42d (122)
# size of the total moment: 0.000 Bohr magnetons per cell
# uncorrected energy: -30.12 eV for the cell shown
data_Ca2SbBr
_cell_length_a 6.496
_cell_length_b 6.496
_cell_length_c 8.804
_cell_angle_alpha 111.65
_cell_angle_beta 111.65
_cell_angle_gamma 90.00
_symmetry_space_group_name_H-M 'P 1'
_symmetry_Int_Tables_number 1
loop_
_symmetry_equiv_pos_as_xyz
'x,y,z'
loop_
_atom_site_label
_atom_site_type_symbol
_atom_site_fract_x
_atom_site_fract_y
_atom_site_fract_z
Ca1 Ca 0.125 0.123 0.750
Ca2 Ca 0.625 0.627 0.750
Ca3 Ca 0.373 0.875 0.250
Ca4 Ca 0.877 0.375 0.250
Sb1 Sb 0.250 0.750 0.500
Sb2 Sb 0.000 0.000 0.000
Br1 Br 0.500 0.500 0.000
Br2 Br 0.750 0.250 0.500